# 1
Here is an optimized crystal structure of Al2Bi2W from the Alexandria database. Energies are from PBE. Values from VASP.

Calculated values
offset from the most stable computed form = 0.5800 eV/atom
symmetry = I4/mmm, No. 139
uncorrected energy = -4.366 eV per atom
crystal system = tetragonal

Cell and atoms, written as Quantum ESPRESSO input:
```
&SYSTEM
  ibrav = 0, nat = 5, ntyp = 3
/
ATOMIC_SPECIES
Bi 208.98 Bi.upf
W 183.84 W.upf
Al 26.98 Al.upf
CELL_PARAMETERS angstrom
4.156 0.000 0.000
0.000 4.156 0.000
2.078 2.078 7.354
ATOMIC_POSITIONS crystal
Bi 0.750 0.250 0.500
Bi 0.250 0.750 0.500
W 0.000 0.000 0.000
Al 0.416 0.416 0.168
Al 0.584 0.584 0.832
```

***

# 2
Here is an optimized crystal structure of AlBi2W from the Alexandria database. Energies are from PBE. Values from VASP.

Calculated values
offset from the most stable computed form = 0.2340 eV/atom
symmetry = I-42d, No. 122
uncorrected energy = -5.004 eV per atom
crystal system = tetragonal

Cell and atoms, written as Quantum ESPRESSO input:
```
&SYSTEM
  ibrav = 0, nat = 8, ntyp = 3
/
ATOMIC_SPECIES
Bi 208.98 Bi.upf
W 183.84 W.upf
Al 26.98 Al.upf
CELL_PARAMETERS angstrom
6.583 0.000 0.000
0.000 6.583 0.000
3.292 3.292 6.246
ATOMIC_POSITIONS crystal
Bi 0.627 0.125 0.250
Bi 0.123 0.625 0.250
Bi 0.375 0.373 0.750
Bi 0.875 0.877 0.750
W 0.000 0.000 0.000
W 0.750 0.250 0.500
Al 0.500 0.500 0.000
Al 0.250 0.750 0.500
```

***

# 3
Here is an optimized crystal structure of YAlBiW2 from the Alexandria database. Energies are from PBE. Values from VASP.

Calculated values
symmetry = P4/mmm, No. 123
uncorrected energy = -6.748 eV per atom
crystal system = tetragonal

Cell and atoms, written as Quantum ESPRESSO input:
```
&SYSTEM
  ibrav = 0, nat = 5, ntyp = 4
/
ATOMIC_SPECIES
Y 88.91 Y.upf
Bi 208.98 Bi.upf
W 183.84 W.upf
Al 26.98 Al.upf
CELL_PARAMETERS angstrom
4.724 0.000 0.000
0.000 5.330 0.000
0.000 0.000 4.724
ATOMIC_POSITIONS crystal
Y 0.500 0.500 0.500
Bi 0.000 0.500 0.000
W 0.000 0.000 0.500
W 0.500 0.000 0.000
Al 0.000 0.000 0.000
```

***

# 4
Here is an optimized crystal structure of YAl2Bi from the Alexandria database. Energies are from PBE. Values from VASP.

Calculated values
symmetry = I-42d, No. 122
uncorrected energy = -4.478 eV per atom
crystal system = tetragonal

Cell and atoms, written as Quantum ESPRESSO input:
```
&SYSTEM
  ibrav = 0, nat = 8, ntyp = 3
/
ATOMIC_SPECIES
Y 88.91 Y.upf
Bi 208.98 Bi.upf
Al 26.98 Al.upf
CELL_PARAMETERS angstrom
-6.322 -3.842 3.637
1.890 -6.934 -4.039
-0.369 -6.234 2.116
ATOMIC_POSITIONS crystal
Y 0.500 0.500 0.000
Y 0.250 0.750 0.500
Bi 0.000 0.000 0.000
Bi 0.750 0.250 0.500
Al 0.643 0.125 0.250
Al 0.107 0.625 0.250
Al 0.375 0.357 0.750
Al 0.875 0.893 0.750
```

***

# 5
Here is an optimized crystal structure of YAlBi2 from the Alexandria database. Energies are from PBE. Values from VASP.

Calculated values
symmetry = I-42d, No. 122
uncorrected energy = -4.609 eV per atom
crystal system = tetragonal

Cell and atoms, written as Quantum ESPRESSO input:
```
&SYSTEM
  ibrav = 0, nat = 8, ntyp = 3
/
ATOMIC_SPECIES
Y 88.91 Y.upf
Bi 208.98 Bi.upf
Al 26.98 Al.upf
CELL_PARAMETERS angstrom
7.864 0.000 0.000
0.000 7.864 0.000
3.932 3.932 3.981
ATOMIC_POSITIONS crystal
Y 0.000 0.000 0.000
Y 0.750 0.250 0.500
Bi 0.581 0.125 0.250
Bi 0.169 0.625 0.250
Bi 0.375 0.419 0.750
Bi 0.875 0.831 0.750
Al 0.500 0.500 0.000
Al 0.250 0.750 0.500
```

***

# 6
Here is an optimized crystal structure of YAlBi3 from the Alexandria database. Energies are from PBE. Values from VASP.

Calculated values
offset from the most stable computed form = 0.0000 eV/atom
symmetry = Pm-3m, No. 221
uncorrected energy = -4.108 eV per atom
crystal system = cubic

Cell and atoms, written as Quantum ESPRESSO input:
```
&SYSTEM
  ibrav = 0, nat = 5, ntyp = 3
/
ATOMIC_SPECIES
Y 88.91 Y.upf
Bi 208.98 Bi.upf
Al 26.98 Al.upf
CELL_PARAMETERS angstrom
-3.945 -2.921 2.375
3.481 -1.521 3.913
-1.433 4.347 2.965
ATOMIC_POSITIONS crystal
Y 0.500 0.500 0.500
Bi 0.000 0.500 0.000
Bi 0.000 0.000 0.500
Bi 0.500 0.000 0.000
Al 0.000 0.000 0.000
```

***

# 7
Here is an optimized crystal structure of Y2AlBi2 from the Alexandria database. Energies are from PBE. Values from VASP.

Calculated values
offset from the most stable computed form = 0.4010 eV/atom
symmetry = I4/mmm, No. 139
uncorrected energy = -4.913 eV per atom
crystal system = tetragonal

Cell and atoms, written as Quantum ESPRESSO input:
```
&SYSTEM
  ibrav = 0, nat = 5, ntyp = 3
/
ATOMIC_SPECIES
Y 88.91 Y.upf
Bi 208.98 Bi.upf
Al 26.98 Al.upf
CELL_PARAMETERS angstrom
5.256 0.000 0.000
0.000 5.256 0.000
2.628 2.628 6.432
ATOMIC_POSITIONS crystal
Y 0.750 0.250 0.500
Y 0.250 0.750 0.500
Bi 0.377 0.377 0.246
Bi 0.623 0.623 0.754
Al 0.000 0.000 0.000
```

***

# 8
Here is an optimized crystal structure of YAl3Bi from the Alexandria database. Energies are from PBE. Values from VASP.

Calculated values
offset from the most stable computed form = 0.1615 eV/atom
symmetry = Pm-3m, No. 221
uncorrected energy = -3.324 eV per atom
crystal system = cubic

Cell and atoms, written as Quantum ESPRESSO input:
```
&SYSTEM
  ibrav = 0, nat = 5, ntyp = 3
/
ATOMIC_SPECIES
Y 88.91 Y.upf
Bi 208.98 Bi.upf
Al 26.98 Al.upf
CELL_PARAMETERS angstrom
-2.336 -3.116 3.876
2.655 -4.402 -1.939
4.205 1.049 3.377
ATOMIC_POSITIONS crystal
Y 0.000 0.000 0.000
Bi 0.500 0.500 0.500
Al 0.000 0.500 0.000
Al 0.000 0.000 0.500
Al 0.500 0.000 0.000
```

***

Table of energy of formation from the pure elements (eV/f.u.), in record order: 6.4 4.4 6.3 -0.1 -0.5 1.3 -0.1 5.0